# 1
# GGA-PBE YVAgMo2, optimized geometry
data_YVAgMo2
_symmetry_space_group_name_H-M 'P 4/m m m'
_symmetry_Int_Tables_number 123
_symmetry_space_group_name_Hall '-P 4 2'
_cell_length_a 4.785
_cell_length_b 4.785
_cell_length_c 5.050
_cell_angle_alpha 90.00
_cell_angle_beta 90.00
_cell_angle_gamma 90.00
loop_
_atom_site_label
_atom_site_type_symbol
_atom_site_fract_x
_atom_site_fract_y
_atom_site_fract_z
_atom_site_occupancy
Y1 Y 0.000 0.000 0.000 1
V1 V 0.500 0.500 0.500 1
Ag1 Ag 0.000 0.000 0.500 1
Mo1 Mo 0.000 0.500 0.000 1
# Energy (eV per atom): -5.61

=====

# 2
# GGA-PBE ZrVAg2Mo, optimized geometry
data_ZrVAg2Mo
_symmetry_space_group_name_H-M 'P 4/m m m'
_symmetry_Int_Tables_number 123
_symmetry_space_group_name_Hall '-P 4 2'
_cell_length_a 5.063
_cell_length_b 5.063
_cell_length_c 4.757
_cell_angle_alpha 90.00
_cell_angle_beta 90.00
_cell_angle_gamma 90.00
loop_
_atom_site_label
_atom_site_type_symbol
_atom_site_fract_x
_atom_site_fract_y
_atom_site_fract_z
_atom_site_occupancy
Zr1 Zr 0.000 0.000 0.000 1
V1 V 0.500 0.500 0.000 1
Ag1 Ag 0.000 0.500 0.500 1
Mo1 Mo 0.000 0.000 0.500 1
# Energy (eV per atom): -5.18

=====

# 3
# GGA-PBE AgMoW2, optimized geometry
data_AgMoW2
_symmetry_space_group_name_H-M 'R -3 m'
_symmetry_Int_Tables_number 166
_symmetry_space_group_name_Hall '-R 3 2"'
_cell_length_a 2.7797
_cell_length_b 2.7797
_cell_length_c 29.8092
_cell_angle_alpha 90.00
_cell_angle_beta 90.00
_cell_angle_gamma 120.00
loop_
_atom_site_label
_atom_site_type_symbol
_atom_site_fract_x
_atom_site_fract_y
_atom_site_fract_z
_atom_site_occupancy
Ag1 Ag 0.0000 0.0000 0.0000 1
Mo1 Mo 0.0000 0.0000 0.5000 1
W1 W 0.0000 0.0000 0.2491 1
# ΔE to the lowest computed polymorph (eV/f.u.): 0.953
# Energy (eV per atom): -9.37

=====

# 4
# GGA-PBE AgMoW3, optimized geometry
data_AgMoW3
_symmetry_space_group_name_H-M 'P m -3 m'
_symmetry_Int_Tables_number 221
_symmetry_space_group_name_Hall '-P 4 2 3'
_cell_length_a 4.736
_cell_length_b 4.736
_cell_length_c 4.736
_cell_angle_alpha 90.00
_cell_angle_beta 90.00
_cell_angle_gamma 90.00
loop_
_atom_site_label
_atom_site_type_symbol
_atom_site_fract_x
_atom_site_fract_y
_atom_site_fract_z
_atom_site_occupancy
Ag1 Ag 0.000 0.000 0.000 1
Mo1 Mo 0.500 0.500 0.500 1
W1 W 0.000 0.500 0.500 1
# ΔE to the lowest computed polymorph (eV/f.u.): 0.000
# Energy (eV per atom): -8.39

=====

# 5
# GGA-PBE AgMoW2, optimized geometry
data_AgMoW2
_symmetry_space_group_name_H-M 'I 4/m m m'
_symmetry_Int_Tables_number 139
_symmetry_space_group_name_Hall '-I 4 2'
_cell_length_a 4.057
_cell_length_b 4.057
_cell_length_c 7.892
_cell_angle_alpha 90.00
_cell_angle_beta 90.00
_cell_angle_gamma 90.00
loop_
_atom_site_label
_atom_site_type_symbol
_atom_site_fract_x
_atom_site_fract_y
_atom_site_fract_z
_atom_site_occupancy
Ag1 Ag 0.000 0.000 0.000 1
Mo1 Mo 0.000 0.000 0.500 1
W1 W 0.000 0.500 0.250 1
# ΔE to the lowest computed polymorph (eV/f.u.): 1.052
# Energy (eV per atom): -9.34

=====

# 6
# GGA-PBE AgMoW2, optimized geometry
data_AgMoW2
_symmetry_space_group_name_H-M 'P 4 m m'
_symmetry_Int_Tables_number 99
_symmetry_space_group_name_Hall 'P 4 -2'
_cell_length_a 3.269
_cell_length_b 3.269
_cell_length_c 6.188
_cell_angle_alpha 90.00
_cell_angle_beta 90.00
_cell_angle_gamma 90.00
loop_
_atom_site_label
_atom_site_type_symbol
_atom_site_fract_x
_atom_site_fract_y
_atom_site_fract_z
_atom_site_occupancy
Ag1 Ag 0.000 0.000 0.000 1
Mo1 Mo 0.500 0.500 0.270 1
W1 W 0.000 0.000 0.499 1
W2 W 0.500 0.500 0.731 1
# ΔE to the lowest computed polymorph (eV/f.u.): 0.852
# Energy (eV per atom): -9.39

=====

# 7
# GGA-PBE AgMoW2, optimized geometry
data_AgMoW2
_symmetry_space_group_name_H-M 'P 1 2/m 1'
_symmetry_Int_Tables_number 10
_symmetry_space_group_name_Hall '-P 2y'
_cell_length_a 2.697
_cell_length_b 4.628
_cell_length_c 5.290
_cell_angle_alpha 90.00
_cell_angle_beta 97.61
_cell_angle_gamma 90.00
loop_
_atom_site_label
_atom_site_type_symbol
_atom_site_fract_x
_atom_site_fract_y
_atom_site_fract_z
_atom_site_occupancy
Ag1 Ag 0.000 0.000 0.000 1
Mo1 Mo 0.500 0.000 0.500 1
W1 W 0.259 0.500 0.744 1
# ΔE to the lowest computed polymorph (eV/f.u.): 0.614
# Energy (eV per atom): -9.45

=====

# 8
# GGA-PBE AgMoW2, optimized geometry
data_AgMoW2
_symmetry_space_group_name_H-M 'C m m m'
_symmetry_Int_Tables_number 65
_symmetry_space_group_name_Hall '-C 2 2'
_cell_length_a 5.624
_cell_length_b 8.685
_cell_length_c 2.678
_cell_angle_alpha 90.00
_cell_angle_beta 90.00
_cell_angle_gamma 90.00
loop_
_atom_site_label
_atom_site_type_symbol
_atom_site_fract_x
_atom_site_fract_y
_atom_site_fract_z
_atom_site_occupancy
Ag1 Ag 0.000 0.000 0.000 1
Mo1 Mo 0.000 0.500 0.000 1
W1 W 0.250 0.250 0.500 1
# ΔE to the lowest computed polymorph (eV/f.u.): 0.965
# Energy (eV per atom): -9.37

=====

# 9
# GGA-PBE AgMoW2, optimized geometry
data_AgMoW2
_symmetry_space_group_name_H-M 'I -4 2 d'
_symmetry_Int_Tables_number 122
_symmetry_space_group_name_Hall 'I -4 2bw'
_cell_length_a 7.259
_cell_length_b 7.259
_cell_length_c 5.468
_cell_angle_alpha 90.00
_cell_angle_beta 90.00
_cell_angle_gamma 90.00
loop_
_atom_site_label
_atom_site_type_symbol
_atom_site_fract_x
_atom_site_fract_y
_atom_site_fract_z
_atom_site_occupancy
Ag1 Ag 0.000 0.000 0.000 1
Mo1 Mo 0.000 0.000 0.500 1
W1 W 0.226 0.250 0.625 1
# ΔE to the lowest computed polymorph (eV/f.u.): 3.614
# Energy (eV per atom): -8.70

=====

# 10
# GGA-PBE AgMoW2, optimized geometry
data_AgMoW2
_symmetry_space_group_name_H-M 'P m m 2'
_symmetry_Int_Tables_number 25
_symmetry_space_group_name_Hall 'P 2 -2'
_cell_length_a 2.647
_cell_length_b 4.363
_cell_length_c 5.693
_cell_angle_alpha 90.00
_cell_angle_beta 90.00
_cell_angle_gamma 90.00
loop_
_atom_site_label
_atom_site_type_symbol
_atom_site_fract_x
_atom_site_fract_y
_atom_site_fract_z
_atom_site_occupancy
Ag1 Ag 0.000 0.000 0.000 1
Mo1 Mo 0.500 0.500 0.253 1
W1 W 0.000 0.000 0.499 1
W2 W 0.500 0.500 0.743 1
# ΔE to the lowest computed polymorph (eV/f.u.): 0.838
# Energy (eV per atom): -9.40

=====

# 11
# GGA-PBE AgMoW2, optimized geometry
data_AgMoW2
_symmetry_space_group_name_H-M 'I m m m'
_symmetry_Int_Tables_number 71
_symmetry_space_group_name_Hall '-I 2 2'
_cell_length_a 3.331
_cell_length_b 4.467
_cell_length_c 8.822
_cell_angle_alpha 90.00
_cell_angle_beta 90.00
_cell_angle_gamma 90.00
loop_
_atom_site_label
_atom_site_type_symbol
_atom_site_fract_x
_atom_site_fract_y
_atom_site_fract_z
_atom_site_occupancy
Ag1 Ag 0.000 0.000 0.000 1
Mo1 Mo 0.000 0.000 0.500 1
W1 W 0.000 0.500 0.234 1
# ΔE to the lowest computed polymorph (eV/f.u.): 0.867
# Energy (eV per atom): -9.39

=====

# 12
# GGA-PBE AgMoW2, optimized geometry
data_AgMoW2
_symmetry_space_group_name_H-M 'C m m 2'
_symmetry_Int_Tables_number 35
_symmetry_space_group_name_Hall 'C 2 -2'
_cell_length_a 3.227
_cell_length_b 4.407
_cell_length_c 9.242
_cell_angle_alpha 90.00
_cell_angle_beta 90.00
_cell_angle_gamma 90.00
loop_
_atom_site_label
_atom_site_type_symbol
_atom_site_fract_x
_atom_site_fract_y
_atom_site_fract_z
_atom_site_occupancy
Ag1 Ag 0.000 0.000 0.000 1
Mo1 Mo 0.000 0.500 0.740 1
W1 W 0.000 0.000 0.500 1
W2 W 0.000 0.500 0.260 1
# ΔE to the lowest computed polymorph (eV/f.u.): 0.000
# Energy (eV per atom): -9.61

=====

# 13
# GGA-PBE AgMoW2, optimized geometry
data_AgMoW2
_symmetry_space_group_name_H-M 'P 4 m m'
_symmetry_Int_Tables_number 99
_symmetry_space_group_name_Hall 'P 4 -2'
_cell_length_a 2.678
_cell_length_b 2.678
_cell_length_c 9.198
_cell_angle_alpha 90.00
_cell_angle_beta 90.00
_cell_angle_gamma 90.00
loop_
_atom_site_label
_atom_site_type_symbol
_atom_site_fract_x
_atom_site_fract_y
_atom_site_fract_z
_atom_site_occupancy
Ag1 Ag 0.000 0.000 0.000 1
Mo1 Mo 0.500 0.500 0.253 1
W1 W 0.000 0.000 0.500 1
W2 W 0.500 0.500 0.749 1
# ΔE to the lowest computed polymorph (eV/f.u.): 0.680
# Energy (eV per atom): -9.44

=====

# 14
# GGA-PBE AgMoW2, optimized geometry
data_AgMoW2
_symmetry_space_group_name_H-M 'F m -3 m'
_symmetry_Int_Tables_number 225
_symmetry_space_group_name_Hall '-F 4 2 3'
_cell_length_a 6.402
_cell_length_b 6.402
_cell_length_c 6.402
_cell_angle_alpha 90.00
_cell_angle_beta 90.00
_cell_angle_gamma 90.00
loop_
_atom_site_label
_atom_site_type_symbol
_atom_site_fract_x
_atom_site_fract_y
_atom_site_fract_z
_atom_site_occupancy
Ag1 Ag 0.000 0.000 0.000 1
Mo1 Mo 0.000 0.000 0.500 1
W1 W 0.250 0.250 0.250 1
# ΔE to the lowest computed polymorph (eV/f.u.): 1.614
# Energy (eV per atom): -9.20

=====

# 15
# GGA-PBE AgMoW2, optimized geometry
data_AgMoW2
_symmetry_space_group_name_H-M 'P 4/m m m'
_symmetry_Int_Tables_number 123
_symmetry_space_group_name_Hall '-P 4 2'
_cell_length_a 3.294
_cell_length_b 3.294
_cell_length_c 6.062
_cell_angle_alpha 90.00
_cell_angle_beta 90.00
_cell_angle_gamma 90.00
loop_
_atom_site_label
_atom_site_type_symbol
_atom_site_fract_x
_atom_site_fract_y
_atom_site_fract_z
_atom_site_occupancy
Ag1 Ag 0.000 0.000 0.000 1
Mo1 Mo 0.000 0.000 0.500 1
W1 W 0.500 0.500 0.268 1
# ΔE to the lowest computed polymorph (eV/f.u.): 1.021
# Energy (eV per atom): -9.35